{"formula": "Th3Tl2H", "functional": "GGA-PBE", "state": "relaxed", "sg": "No. 63", "magmom_total_mub_per_cell": 0.0, "dos_at_fermi_per_ev_cell": 9.8, "energy_ha_per_atom": -0.187, "vol_a3_per_atom": 26.56, "lattice": [[6.8625, 0.0000, 0.0000], [0.0000, 6.7055, 1.2548], [0.0000, -1.6615, 6.6165]], "species": ["Th", "Th", "Th", "Th", "Th", "Th", "Tl", "Tl", "Tl", "Tl", "H", "H"], "fractional_positions": [[0.5113, 0.1636, 0.8364], [0.0113, 0.1636, 0.8364], [0.2613, 0.3588, 0.3588], [0.7613, 0.6412, 0.6412], [0.0113, 0.8364, 0.1636], [0.5113, 0.8364, 0.1636], [0.7613, 0.1531, 0.4471], [0.2613, 0.5529, 0.8469], [0.2613, 0.8469, 0.5529], [0.7613, 0.4471, 0.1531], [0.7613, 0.8980, 0.8980], [0.2613, 0.1020, 0.1020]]}